Material: Ac3SnN2
Method: DFT, PBE
State: relaxed

a = 7.8262 Å, b = 7.8262 Å, c = 6.2362 Å
α = 90.00°, β = 90.00°, γ = 99.88°
With the nearest neighbours (Å) after each atom.
Fractional coordinates of all 12 atoms:
Ac  0.0987  0.9013  0.7500  4 N 2.52
Ac  0.1809  0.3851  0.7500  2 N 2.35
Ac  0.3851  0.1809  0.2500  2 N 2.35
Ac  0.6149  0.8191  0.7500  2 N 2.35
Ac  0.8191  0.6149  0.2500  2 N 2.35
Ac  0.9013  0.0987  0.2500  4 N 2.52
Sn  0.3276  0.6724  0.2500  10 Ac 3.90-4.15, 4 N 4.31
Sn  0.6724  0.3276  0.7500  10 Ac 3.90-4.15, 4 N 4.31
N  0.1578  0.1578  0.0000  4 Ac 2.35-2.52
N  0.1578  0.1578  0.5000  4 Ac 2.35-2.52
N  0.8422  0.8422  0.0000  4 Ac 2.35-2.52
N  0.8422  0.8422  0.5000  4 Ac 2.35-2.52

- E_form (uncorrected): -0.91 eV per atom
- Electronic total energy: -6.40 eV per atom
- Volume: 188.2 Å³/f.u.
- Total magnetization: 0.0 μB/f.u.
- SG: Cmcm (63)